The following is a PBE calculation of an optimized crystal structure of TmO3, from the Alexandria database.

Values from the calculation:
**Magnetization**: 6.0 Bohr magnetons per cell
**Formation energy from raw total energies**: -1571 meV per atom
**Density of states at the Fermi level**: 0.0348 states/eV/atom

Cell: 6.3885 6.3885 3.3512 Å, 90.00 90.00 120.00°
Space group P6_3/m (No. 176)
Unique sites:
1 Tm 0.3333 0.6667 0.2500
2 O 0.0574 0.4214 0.7500